1.
The following is a PBE-GGA calculation of a relaxed structure of AlPO4, from Alexandria via LeMat-Bulk.

CIF file:
```
data_AlPO4
_chemical_formula_sum 'Al3 P3 O12'
_symmetry_space_group_name_H-M 'P 32 2 1'
_symmetry_Int_Tables_number 154
_cell_length_a 5.0605
_cell_length_b 5.0605
_cell_length_c 11.1667
_cell_angle_alpha 90.00
_cell_angle_beta 90.00
_cell_angle_gamma 120.00
loop_
_symmetry_equiv_pos_as_xyz
'x,y,z'
'-y,x-y,z+2/3'
'-x+y,-x,z+1/3'
'y,x,-z'
'x-y,-y,-z+1/3'
'-x,-x+y,-z+2/3'
loop_
_atom_site_label
_atom_site_type_symbol
_atom_site_fract_x
_atom_site_fract_y
_atom_site_fract_z
_atom_site_occupancy
Al1 Al 0.0000 0.5263 0.3333 1
P1 P 0.0000 0.5257 0.8333 1
O1 O 0.1389 0.4177 0.9311 1
O2 O 0.1725 0.4176 0.4442 1
```

Properties
Calculated density: 2.45 Mg/m³
E_form (uncorrected): -2.65 eV per atom
Density of states at the Fermi level: 0.00 states/eV/cell
Total moment: 0.00 Bohr magnetons per cell

2.
The following is a PBE-GGA calculation of a relaxed structure of AlPO, from Alexandria via LeMat-Bulk.

CIF file:
```
data_AlPO
_chemical_formula_sum 'Al2 P2 O2'
_symmetry_space_group_name_H-M 'P 1 m 1'
_symmetry_Int_Tables_number 6
_cell_length_a 4.6947
_cell_length_b 3.1594
_cell_length_c 6.1879
_cell_angle_alpha 90.00
_cell_angle_beta 94.59
_cell_angle_gamma 90.00
loop_
_symmetry_equiv_pos_as_xyz
'x,y,z'
'x,-y,z'
loop_
_atom_site_label
_atom_site_type_symbol
_atom_site_fract_x
_atom_site_fract_y
_atom_site_fract_z
_atom_site_occupancy
Al1 Al 0.0000 0.0000 0.0000 1
Al2 Al 0.4745 0.5000 0.7673 1
P1 P 0.0507 0.0000 0.3802 1
P2 P 0.3843 0.5000 0.3845 1
O1 O 0.3374 0.0000 0.8717 1
O2 O 0.8382 0.5000 0.8958 1
```

Properties
Calculated density: 2.68 Mg/m³
E above lowest polymorph: 9 meV per atom
E_form (uncorrected): -1.66 eV per atom
Total moment: 0.00 Bohr magnetons per cell

3.
The following is a PBE-GGA calculation of a relaxed structure of AlPO4, from Alexandria via LeMat-Bulk.

CIF file:
```
data_AlPO4
_chemical_formula_sum 'Al6 P6 O24'
_symmetry_space_group_name_H-M 'P 1 2/c 1'
_symmetry_Int_Tables_number 13
_cell_length_a 11.1085
_cell_length_b 5.0502
_cell_length_c 9.0126
_cell_angle_alpha 90.00
_cell_angle_beta 90.35
_cell_angle_gamma 90.00
loop_
_symmetry_equiv_pos_as_xyz
'x,y,z'
'-x,-y,-z'
'-x,y,-z+1/2'
'x,-y,z+1/2'
loop_
_atom_site_label
_atom_site_type_symbol
_atom_site_fract_x
_atom_site_fract_y
_atom_site_fract_z
_atom_site_occupancy
Al1 Al 0.0000 0.0253 0.2500 1
Al2 Al 0.3339 0.2644 0.9898 1
P1 P 0.1675 0.2397 0.5096 1
P2 P 0.5000 0.4757 0.2500 1
O1 O 0.0772 0.2187 0.3801 1
O2 O 0.1062 0.1684 0.6567 1
O3 O 0.2099 0.4718 0.0203 1
O4 O 0.2775 0.0595 0.4825 1
O5 O 0.4049 0.3456 0.8229 1
O6 O 0.4392 0.2958 0.1341 1
```

Properties
Calculated density: 2.40 Mg/m³
E_form (uncorrected): -2.64 eV per atom
Density of states at the Fermi level: 0.00 states/eV/cell
Total moment: 0.00 Bohr magnetons per cell